Record 1
RbNi2HgF8: relaxed, GGA+U.

crystal system = triclinic
M_tot = 0.25 μB/atom
energy = -43.8 eV for the cell shown

Cell: 4.8922 5.1730 8.1936 Å, 85.28 89.66 83.62°
Space group P-1 (No. 2)
Asymmetric unit:
Rb: 0.0000 0.0000 0.0000
Ni: 0.4932 0.4700 0.6892
Hg: 0.0000 0.0000 0.5000
F: 0.1626 0.7485 0.3091
F: 0.1863 0.7298 0.7105
F: 0.3667 0.3006 0.4914
F: 0.4125 0.2937 0.8859


Record 2
RbNiHg2F8: relaxed, GGA+U.

crystal system = triclinic
M_tot = 0.08 μB/atom
energy = -40.0 eV for the cell shown

Cell: 5.0631 5.3865 7.5840 Å, 80.19 86.46 89.48°
Space group P-1 (No. 2)
Asymmetric unit:
Rb: 0.0000 0.0000 0.0000
Ni: 0.0000 0.0000 0.5000
Hg: 0.4495 0.4644 0.2672
F: 0.1083 0.7639 0.6908
F: 0.1743 0.8347 0.3380
F: 0.3223 0.2368 0.5072
F: 0.4590 0.2734 0.9612


Question: energy of number 1 (RbNi2HgF8)?
Answer: -43.8 eV for the cell shown


Question: Look up the M_tot of the second one.
Answer: 0.08 μB/atom


Repeat the second record exactly.
RbNiHg2F8: relaxed, GGA+U.

crystal system = triclinic
M_tot = 0.08 μB/atom
energy = -40.0 eV for the cell shown

Cell: 5.0631 5.3865 7.5840 Å, 80.19 86.46 89.48°
Space group P-1 (No. 2)
Asymmetric unit:
Rb: 0.0000 0.0000 0.0000
Ni: 0.0000 0.0000 0.5000
Hg: 0.4495 0.4644 0.2672
F: 0.1083 0.7639 0.6908
F: 0.1743 0.8347 0.3380
F: 0.3223 0.2368 0.5072
F: 0.4590 0.2734 0.9612


Question: Which of these has the lowest energy?
Answer: RbNi2HgF8